# 1
Computed, not measured: crystalline RbAlRu at its relaxed geometry at the PBE level of DFT.

Cell lengths 4.4354, 4.4960, 12.5441 Å; angles 82.51, 89.79, 60.44 degrees
With the nearest neighbours (Å) after each atom.
Space group P1 (No. 1)
Inequivalent atoms, fractional coordinates:
Rb (0.0000, 0.0000, 0.0000)  1 Ru 3.24
Rb (0.4078, 0.2076, 0.3662)  3 Al 3.62-3.68
Al (0.1317, 0.7557, 0.5751)  2 Ru 2.44-2.48
Al (0.6575, 0.7004, 0.7524)  6 Ru 2.57-2.63
Ru (0.3222, 0.3713, 0.7473)  4 Al 2.44-2.61, 3 Ru 2.58-2.59
Ru (0.9910, 0.0338, 0.7400)  4 Al 2.48-2.63, 3 Ru 2.58-2.59

Values from the calculation:
- theoretical density (kg/m3) = 3295
- formation enthalpy at 0 K (eV/atom) = 0.171


# 2
Computed, not measured: crystalline RbAlRu at its relaxed geometry at the PBE level of DFT.

Cell lengths 3.2954, 3.9068, 12.7787 Å; angles 90.82, 90.74, 90.00 degrees
With the nearest neighbours (Å) after each atom.
Space group P1 (No. 1)
Inequivalent atoms, fractional coordinates:
Rb (0.0000, 0.0000, 0.0000)  2 Rb 3.30, 2 Ru 3.42-3.44
Rb (0.0312, 0.5340, 0.6436)  2 Rb 3.30, 2 Ru 3.43-3.44
Al (0.0082, 0.5127, 0.2468)  6 Ru 2.56-2.64, 2 Al 2.74
Al (0.0156, 0.0198, 0.3968)  6 Ru 2.56-2.64, 2 Al 2.74
Ru (0.5078, 0.0122, 0.2355)  6 Al 2.56-2.64
Ru (0.5163, 0.5203, 0.4081)  6 Al 2.56-2.64

Values from the calculation:
- theoretical density (kg/m3) = 4311
- formation enthalpy at 0 K (eV/atom) = 0.064


# 3
Computed, not measured: crystalline RbAl2Ru at its relaxed geometry at the PBE level of DFT.

Cell lengths 6.5409, 6.5409, 13.2124 Å; angles 90.00, 90.00, 90.00 degrees
With the nearest neighbours (Å) after each atom.
Space group I4_1/amd (No. 141, origin choice 2)
Inequivalent atoms, fractional coordinates:
Rb (0.0000, 0.2500, 0.3750)  8 Al 4.01
Al (0.0000, 0.0000, 0.0000)  2 Ru 2.32
Ru (0.0000, 0.2500, 0.8750)  4 Al 2.32

Values from the calculation:
- theoretical density (kg/m3) = 2826
- formation enthalpy at 0 K (eV/atom) = 0.282


# 4
Computed, not measured: crystalline RbAlRu at its relaxed geometry at the PBE level of DFT.

Cell lengths 3.1483, 4.7940, 12.3791 Å; angles 81.12, 85.04, 70.88 degrees
With the nearest neighbours (Å) after each atom.
Space group P-1 (No. 2)
Inequivalent atoms, fractional coordinates:
Rb (0.2366, 0.3145, 0.3120)  2 Rb 3.15
Al (0.4497, 0.1671, 0.9019)  5 Ru 2.57-2.60, 1 Al 2.68
Ru (0.1632, 0.7113, 0.9456)  5 Al 2.57-2.60, 2 Ru 2.69

Values from the calculation:
- theoretical density (kg/m3) = 4069
- formation enthalpy at 0 K (eV/atom) = 0.132